WSeBr2O: relaxed, PBE with a Hubbard U.

## Properties
The symmetry is P4/mmm, No. 123. As for the energy above the lowest structure with this stoichiometry: 0 meV/atom. The calculation puts the theoretical density at 5.41 g cm⁻³. The electronic total energy is -3.140 eV per atom.

Cell lengths 5.2535, 5.2535, 4.8821 Å; angles 90.00, 90.00, 90.00 degrees
Element x y z (fractional)
W (0.0000, 0.0000, 0.0000)
Se (0.0000, 0.0000, 0.5000)
Br (0.0000, 0.5000, 0.0000)
Br (0.5000, 0.0000, 0.0000)
O (0.5000, 0.5000, 0.5000)


WSe2BrO: relaxed, PBE with a Hubbard U.

## Properties
The symmetry is P4/mmm, No. 123. As for the energy above the lowest structure with this stoichiometry: 320 meV/atom. The calculation puts the theoretical density at 5.85 g cm⁻³. The electronic total energy is -3.252 eV per atom.

Cell lengths 4.9052, 4.9052, 5.1652 Å; angles 90.00, 90.00, 90.00 degrees
Element x y z (fractional)
W (0.0000, 0.0000, 0.0000)
Se (0.0000, 0.5000, 0.0000)
Se (0.5000, 0.0000, 0.0000)
Br (0.0000, 0.0000, 0.5000)
O (0.5000, 0.5000, 0.5000)